{
  "formula": "ScPt2Pb",
  "functional": "GGA-PBE",
  "state": "relaxed",
  "lattice_angstrom": [[-2.0807, 2.0868, 4.3303], [2.0807, -2.0868, 4.3303], [2.0807, 2.0868, -4.3303]],
  "species": ["Sc", "Pt", "Pt", "Pb"],
  "frac_coords": [[0.0000, 0.0000, 0.0000], [0.5001, 0.5001, 0.0000], [0.7501, 0.2501, 0.5000], [0.2502, 0.7502, 0.5000]],
  "crystal_system": "orthorhombic",
  "energy_ev_per_cell": -24.60,
  "density_g_cm3": 14.18,
  "spacegroup": "Imm2 (44)"
}

---

{
  "formula": "Sc2PtPb2",
  "functional": "GGA-PBE",
  "state": "relaxed",
  "lattice_angstrom": [[7.0436, 0.0000, 0.0000], [0.0000, 7.0436, 0.0000], [0.0000, 0.0000, 4.8992]],
  "species": ["Sc", "Sc", "Sc", "Sc", "Pt", "Pt", "Pb", "Pb", "Pb", "Pb"],
  "frac_coords": [[0.1610, 0.3390, 0.0000], [0.3390, 0.8390, 0.0000], [0.6610, 0.1610, 0.0000], [0.8390, 0.6610, 0.0000], [0.0000, 0.0000, 0.0000], [0.5000, 0.5000, 0.0000], [0.1616, 0.6616, 0.5000], [0.3384, 0.1616, 0.5000], [0.6616, 0.8384, 0.5000], [0.8384, 0.3384, 0.5000]],
  "crystal_system": "tetragonal",
  "energy_ev_per_cell": -56.09,
  "density_g_cm3": 9.56,
  "spacegroup": "P4/mbm (127)"
}

---

{
  "formula": "ScPtPb3",
  "functional": "GGA-PBE",
  "state": "relaxed",
  "lattice_angstrom": [[5.3949, 0.0000, 0.0000], [0.0000, 5.3949, 0.0000], [0.0000, 0.0000, 5.3949]],
  "species": ["Sc", "Pt", "Pb", "Pb", "Pb"],
  "frac_coords": [[0.0000, 0.0000, 0.0000], [0.5000, 0.5000, 0.5000], [0.0000, 0.5000, 0.5000], [0.5000, 0.0000, 0.5000], [0.5000, 0.5000, 0.0000]],
  "crystal_system": "cubic",
  "energy_ev_per_cell": -22.05,
  "density_g_cm3": 9.11,
  "spacegroup": "Pm-3m (221)"
}

---

{
  "formula": "ScPt2Pb",
  "functional": "GGA-PBE",
  "state": "relaxed",
  "lattice_angstrom": [[3.4113, 0.0000, 0.0000], [0.0000, 3.4113, 0.0000], [0.0000, 0.0000, 6.7726]],
  "species": ["Sc", "Pt", "Pt", "Pb"],
  "frac_coords": [[0.0000, 0.0000, 0.0000], [0.5000, 0.5000, 0.2128], [0.5000, 0.5000, 0.7872], [0.0000, 0.0000, 0.5000]],
  "crystal_system": "tetragonal",
  "energy_ev_per_cell": -25.09,
  "density_g_cm3": 13.53,
  "spacegroup": "P4/mmm (123)"
}

---

{
  "formula": "ScPt2Pb",
  "functional": "GGA-PBE",
  "state": "relaxed",
  "lattice_angstrom": [[4.7373, -1.8631, 0.0000], [4.7373, 1.8631, 0.0000], [-1.2989, 0.0000, 4.3774]],
  "species": ["Sc", "Pt", "Pt", "Pb"],
  "frac_coords": [[0.0000, 0.0000, 0.0000], [0.2676, 0.2676, 0.8417], [0.5069, 0.5069, 0.5367], [0.7635, 0.7635, 0.3358]],
  "crystal_system": "monoclinic",
  "energy_ev_per_cell": -24.62,
  "density_g_cm3": 13.80,
  "spacegroup": "Cm (8)"
}

---

{
  "formula": "ScPt2Pb",
  "functional": "GGA-PBE",
  "state": "relaxed",
  "lattice_angstrom": [[-2.1199, 2.1199, 9.2689], [2.1199, -2.1199, 9.2689], [2.1199, 2.1199, -9.2689]],
  "species": ["Sc", "Sc", "Pt", "Pt", "Pt", "Pt", "Pb", "Pb"],
  "frac_coords": [[0.0000, 0.0000, 0.0000], [0.7500, 0.2500, 0.5000], [0.1120, 0.6250, 0.9870], [0.3750, 0.3620, 0.4870], [0.6380, 0.1250, 0.0130], [0.8750, 0.8880, 0.5130], [0.2500, 0.7500, 0.5000], [0.5000, 0.5000, 0.0000]],
  "crystal_system": "tetragonal",
  "energy_ev_per_cell": -46.41,
  "density_g_cm3": 12.80,
  "spacegroup": "I-42d (122)"
}

---

{
  "formula": "ScPt2Pb",
  "functional": "GGA-PBE",
  "state": "relaxed",
  "lattice_angstrom": [[2.9849, -3.4197, 0.0000], [2.9849, 3.4197, 0.0000], [0.0000, 0.0000, 3.7614]],
  "species": ["Sc", "Pt", "Pt", "Pb"],
  "frac_coords": [[0.0000, 0.0000, 0.0000], [0.0000, 0.5000, 0.5000], [0.5000, 0.0000, 0.5000], [0.5000, 0.5000, 0.0000]],
  "crystal_system": "orthorhombic",
  "energy_ev_per_cell": -24.62,
  "density_g_cm3": 13.89,
  "spacegroup": "Cmmm (65)"
}

---

{
  "formula": "ScPt2Pb",
  "functional": "GGA-PBE",
  "state": "relaxed",
  "lattice_angstrom": [[3.6341, 0.0000, 0.0000], [0.0000, 4.2407, 0.0000], [-1.7272, 0.0000, 5.2726]],
  "species": ["Sc", "Pt", "Pt", "Pb"],
  "frac_coords": [[0.0000, 0.0000, 0.0000], [0.2824, 0.0000, 0.5633], [0.4550, 0.5000, 0.9029], [0.7188, 0.5000, 0.4231]],
  "crystal_system": "monoclinic",
  "energy_ev_per_cell": -24.75,
  "density_g_cm3": 13.13,
  "spacegroup": "Pm (6)"
}

---

{
  "formula": "ScPtPbW2",
  "functional": "GGA-PBE",
  "state": "relaxed",
  "lattice_angstrom": [[5.0440, 0.0000, 0.0000], [0.0000, 5.0440, 0.0000], [0.0000, 0.0000, 5.1143]],
  "species": ["Sc", "Pt", "Pb", "W", "W"],
  "frac_coords": [[0.0000, 0.0000, 0.0000], [0.5000, 0.5000, 0.0000], [0.0000, 0.0000, 0.5000], [0.0000, 0.5000, 0.5000], [0.5000, 0.0000, 0.5000]],
  "crystal_system": "tetragonal",
  "energy_ev_per_cell": -29.95,
  "density_g_cm3": 10.40,
  "spacegroup": "P4/mmm (123)"
}

---

{
  "formula": "YScPtPb2",
  "functional": "GGA-PBE",
  "state": "relaxed",
  "lattice_angstrom": [[5.7222, 0.0000, 0.0000], [0.0000, 5.7222, 0.0000], [0.0000, 0.0000, 5.0648]],
  "species": ["Y", "Sc", "Pt", "Pb", "Pb"],
  "frac_coords": [[0.0000, 0.0000, 0.0000], [0.5000, 0.5000, 0.5000], [0.0000, 0.0000, 0.5000], [0.0000, 0.5000, 0.0000], [0.5000, 0.0000, 0.0000]],
  "crystal_system": "tetragonal",
  "energy_ev_per_cell": -23.67,
  "density_g_cm3": 7.44,
  "spacegroup": "P4/mmm (123)"
}

---

{
  "formula": "Pt2PbSe",
  "functional": "GGA-PBE",
  "state": "relaxed",
  "lattice_angstrom": [[-1.7991, 2.5174, 4.5454], [1.7991, -2.5174, 4.5454], [1.7991, 2.5174, -4.5454]],
  "species": ["Pt", "Pt", "Pb", "Se"],
  "frac_coords": [[0.0000, 0.0000, 0.0000], [0.7801, 0.2801, 0.5000], [0.2970, 0.7970, 0.5000], [0.5896, 0.5896, 0.0000]],
  "crystal_system": "orthorhombic",
  "energy_ev_per_cell": -19.12,
  "density_g_cm3": 13.64,
  "spacegroup": "Imm2 (44)"
}

---

{
  "formula": "Pt2PbSe",
  "functional": "GGA-PBE",
  "state": "relaxed",
  "lattice_angstrom": [[2.8731, -3.8566, 0.0000], [2.8731, 3.8566, 0.0000], [0.0000, 0.0000, 3.7958]],
  "species": ["Pt", "Pt", "Pb", "Se"],
  "frac_coords": [[0.2322, 0.7678, 0.0000], [0.7678, 0.2322, 0.0000], [0.5000, 0.5000, 0.5000], [0.0000, 0.0000, 0.5000]],
  "crystal_system": "orthorhombic",
  "energy_ev_per_cell": -19.25,
  "density_g_cm3": 13.35,
  "spacegroup": "Cmmm (65)"
}